Entry from OQMD via LeMat-Bulk: a relaxed DyTlHgTe3 crystal (GGA-PBE).

## Properties
Electronic total energy = -3.4826 eV/atom
Size of the total moment = 0.003 μB/f.u.

Lattice parameters (Å, degrees): 8.7329 4.4321 11.0564 90.00 107.59 90.00
Last column: nearest neighbours and their distance in Å.
Element x y z (fractional)
Dy 0.1888 0.2500 0.1419  6 Te 3.03-3.23
Dy 0.8112 0.7500 0.8581  6 Te 3.03-3.23
Tl 0.2419 0.7500 0.7126  6 Te 3.40-3.71
Tl 0.7581 0.2500 0.2874  6 Te 3.40-3.71
Hg 0.4175 0.7500 0.3815  4 Te 2.80-3.03
Hg 0.5825 0.2500 0.6185  4 Te 2.80-3.03
Te 0.0559 0.2500 0.8550  3 Dy 3.03-3.09
Te 0.2399 0.2500 0.4434  3 Hg 2.90-3.03, 1 Dy 3.23
Te 0.4365 0.7500 0.1328  1 Hg 2.80, 2 Dy 3.12
Te 0.5635 0.2500 0.8672  1 Hg 2.80, 2 Dy 3.12
Te 0.7601 0.7500 0.5566  3 Hg 2.90-3.03, 1 Dy 3.23
Te 0.9441 0.7500 0.1450  3 Dy 3.03-3.09


Entry from OQMD via LeMat-Bulk: a relaxed DyTlHgTe3 crystal (GGA-PBE).

## Properties
Electronic total energy = -3.4383 eV/atom
Size of the total moment = 0.000 μB/f.u.

Lattice parameters (Å, degrees): 12.8884 4.5444 13.5297 90.00 90.00 90.00
Last column: nearest neighbours and their distance in Å.
Element x y z (fractional)
Dy 0.0319 0.2500 0.1821  5 Te 3.04-3.15
Dy 0.4681 0.7500 0.6821  5 Te 3.04-3.15
Dy 0.5319 0.2500 0.3179  5 Te 3.04-3.15
Dy 0.9681 0.7500 0.8179  5 Te 3.04-3.15
Tl 0.1732 0.2500 0.4906  5 Te 3.40-3.55, 2 Hg 3.55
Tl 0.3268 0.7500 0.9906  5 Te 3.40-3.55, 2 Hg 3.55
Tl 0.6732 0.2500 0.0094  5 Te 3.40-3.55, 2 Hg 3.55
Tl 0.8268 0.7500 0.5094  5 Te 3.40-3.55, 2 Hg 3.55
Hg 0.2474 0.7500 0.3015  4 Te 2.82-2.90
Hg 0.2526 0.2500 0.8015  4 Te 2.82-2.90
Hg 0.7474 0.7500 0.1985  4 Te 2.82-2.90
Hg 0.7526 0.2500 0.6985  4 Te 2.82-2.90
Te 0.0292 0.7500 0.3430  1 Hg 2.87, 2 Dy 3.15
Te 0.0835 0.2500 0.9338  1 Hg 2.82, 2 Dy 3.14
Te 0.2324 0.7500 0.6693  2 Hg 2.90, 1 Dy 3.04
Te 0.2676 0.2500 0.1693  2 Hg 2.90, 1 Dy 3.04
Te 0.4165 0.7500 0.4338  1 Hg 2.82, 2 Dy 3.14
Te 0.4708 0.2500 0.8430  1 Hg 2.87, 2 Dy 3.15
Te 0.5292 0.7500 0.1570  1 Hg 2.87, 2 Dy 3.15
Te 0.5835 0.2500 0.5662  1 Hg 2.82, 2 Dy 3.14
Te 0.7324 0.7500 0.8307  2 Hg 2.90, 1 Dy 3.04
Te 0.7676 0.2500 0.3307  2 Hg 2.90, 1 Dy 3.04
Te 0.9165 0.7500 0.0662  1 Hg 2.82, 2 Dy 3.14
Te 0.9708 0.2500 0.6570  1 Hg 2.87, 2 Dy 3.15


Entry from OQMD via LeMat-Bulk: a relaxed DyTlHgTe3 crystal (GGA-PBE).

## Properties
Electronic total energy = -3.4961 eV/atom
Size of the total moment = 0.004 μB/f.u.

Lattice parameters (Å, degrees): 11.6079 4.4396 15.1937 90.00 90.00 90.00
Last column: nearest neighbours and their distance in Å.
Element x y z (fractional)
Dy 0.0144 0.2500 0.2471  6 Te 3.11-3.18
Dy 0.4856 0.7500 0.7471  6 Te 3.11-3.18
Dy 0.5144 0.2500 0.2529  6 Te 3.11-3.18
Dy 0.9856 0.7500 0.7529  6 Te 3.11-3.18
Tl 0.2321 0.7500 0.5117  7 Te 3.51-3.64, 2 Hg 3.78
Tl 0.2679 0.2500 0.0117  7 Te 3.51-3.64, 2 Hg 3.78
Tl 0.7321 0.7500 0.9883  7 Te 3.51-3.64, 2 Hg 3.78
Tl 0.7679 0.2500 0.4883  7 Te 3.51-3.64, 2 Hg 3.78
Hg 0.2418 0.2500 0.7131  4 Te 2.81-2.89
Hg 0.2582 0.7500 0.2131  4 Te 2.81-2.89
Hg 0.7418 0.2500 0.7869  4 Te 2.81-2.89
Hg 0.7582 0.7500 0.2869  4 Te 2.81-2.89
Te 0.0349 0.2500 0.6142  1 Hg 2.83, 2 Dy 3.11
Te 0.0594 0.7500 0.1071  1 Hg 2.81, 2 Dy 3.12
Te 0.2368 0.7500 0.8348  2 Hg 2.89, 2 Dy 3.17-3.18
Te 0.2632 0.2500 0.3348  2 Hg 2.89, 2 Dy 3.17-3.18
Te 0.4406 0.2500 0.6071  1 Hg 2.81, 2 Dy 3.12
Te 0.4651 0.7500 0.1142  1 Hg 2.83, 2 Dy 3.11
Te 0.5349 0.2500 0.8858  1 Hg 2.83, 2 Dy 3.11
Te 0.5594 0.7500 0.3929  1 Hg 2.81, 2 Dy 3.12
Te 0.7368 0.7500 0.6652  2 Hg 2.89, 2 Dy 3.17-3.18
Te 0.7632 0.2500 0.1652  2 Hg 2.89, 2 Dy 3.17-3.18
Te 0.9406 0.2500 0.8929  1 Hg 2.81, 2 Dy 3.12
Te 0.9651 0.7500 0.3858  1 Hg 2.83, 2 Dy 3.11


Entry from OQMD via LeMat-Bulk: a relaxed DyTlHgTe3 crystal (GGA-PBE).

## Properties
Electronic total energy = -3.4984 eV/atom
Size of the total moment = 0.003 μB/f.u.

Lattice parameters (Å, degrees): 8.0500 8.0500 11.5999 90.00 90.00 148.15
Last column: nearest neighbours and their distance in Å.
Element x y z (fractional)
Dy 0.0000 0.0000 0.0000  6 Te 3.12-3.17
Dy 0.0000 0.0000 0.5000  6 Te 3.12-3.17
Tl 0.2393 0.7607 0.7500  8 Te 3.54-3.92, 2 Hg 3.81
Tl 0.7607 0.2393 0.2500  8 Te 3.54-3.92, 2 Hg 3.81
Hg 0.4611 0.5389 0.2500  4 Te 2.82-2.90
Hg 0.5389 0.4611 0.7500  4 Te 2.82-2.90
Te 0.0822 0.9178 0.2500  2 Hg 2.90, 2 Dy 3.17
Te 0.3617 0.6383 0.0461  1 Hg 2.82, 2 Dy 3.12
Te 0.3617 0.6383 0.4538  1 Hg 2.82, 2 Dy 3.12
Te 0.6383 0.3617 0.5462  1 Hg 2.82, 2 Dy 3.12
Te 0.6383 0.3617 0.9538  1 Hg 2.82, 2 Dy 3.12
Te 0.9178 0.0822 0.7500  2 Hg 2.90, 2 Dy 3.17


Entry from OQMD via LeMat-Bulk: a relaxed DyThHg crystal (GGA-PBE).

## Properties
Electronic total energy = -4.0086 eV/atom
ΔE_f = 0.10 eV/atom
Size of the total moment = 0.867 μB/f.u.

Lattice parameters (Å, degrees): 5.1607 5.1607 5.1607 60.00 60.00 60.00
Last column: nearest neighbours and their distance in Å.
Element x y z (fractional)
Dy 0.0000 0.0000 0.0000  4 Hg 3.16
Th 0.5000 0.5000 0.5000  4 Hg 3.16
Hg 0.2500 0.2500 0.2500  4 Dy 3.16, 4 Th 3.16


Entry from OQMD via LeMat-Bulk: a relaxed Dy2ThHg crystal (GGA-PBE).

## Properties
Electronic total energy = -4.4903 eV/atom
ΔE_f = -0.26 eV/atom
Size of the total moment = 0.003 μB/f.u.

Lattice parameters (Å, degrees): 3.6170 3.6170 8.7203 90.00 90.00 90.00
Last column: nearest neighbours and their distance in Å.
Element x y z (fractional)
Dy 0.0000 0.0000 0.2257  4 Hg 3.23, 4 Th 3.50
Dy 0.0000 0.0000 0.7743  4 Hg 3.23, 4 Th 3.50
Th 0.5000 0.5000 0.5000  8 Dy 3.50, 4 Th 3.62
Hg 0.5000 0.5000 0.0000  8 Dy 3.23


What is the formula in the second record?
DyTlHgTe3


Which value of size of the total moment does entry 5 give?
0.867 μB/f.u.